Density functional theory data (GGA+U) for an optimized crystal structure of PaCrO5.

Values from the calculation:
As for the space-group type: C2/c. The total energy is -8.31 eV per atom. The value obtained for the density is 6.5 g cm⁻³.

Cell lengths 5.3960, 5.3960, 7.3500 Å; angles 70.20, 70.20, 72.48 degrees
With the nearest neighbours (Å) after each atom.
Fractional coordinates of all 14 atoms:
O (0.2910, 0.6828, 0.4636)  1 Cr 1.97, 1 Pa 2.18
O (0.9060, 0.0940, 0.2500)  2 Cr 1.93
O (0.7963, 0.7567, 0.1158)  1 Cr 1.77
O (0.2433, 0.2037, 0.3842)  1 Cr 1.77
O (0.7567, 0.7963, 0.6158)  1 Cr 1.77
O (0.0940, 0.9060, 0.7500)  2 Cr 1.93
O (0.3172, 0.7090, 0.0364)  1 Cr 1.97, 1 Pa 2.18
O (0.2037, 0.2433, 0.8842)  1 Cr 1.77
O (0.6828, 0.2910, 0.9636)  1 Cr 1.97, 1 Pa 2.18
O (0.7090, 0.3172, 0.5364)  1 Cr 1.97, 1 Pa 2.18
Cr (0.0000, 0.0000, 0.0000)  6 O 1.77-1.97
Cr (0.0000, 0.0000, 0.5000)  6 O 1.77-1.97
Pa (0.4517, 0.5483, 0.7500)  7 O 2.18-2.35
Pa (0.5483, 0.4517, 0.2500)  7 O 2.18-2.35